Material: TcIr2Rh
Method: DFT, PBE-GGA
State: optimized geometry

Values from the calculation:
For the volume, the calculation gives 14.4 Å³ per atom. The total energy comes out at -8.9340 eV per atom. As for the crystal system: tetragonal. Its formation energy is -0.07 eV/atom. For the total moment, the calculation gives 0.000 Bohr magnetons per cell.

a b c (Å): 2.720 2.720 7.795
angles (deg): 90.00 90.00 90.00
Element x y z (fractional)
Tc: 0.500 0.500 0.750
Rh: 0.000 0.000 0.503
Ir: 0.000 0.000 0.999
Ir: 0.500 0.500 0.249

---

Material: RbScCo2Au
Method: DFT, PBE-GGA
State: optimized geometry

Values from the calculation:
For the volume, the calculation gives 19.9 Å³ per atom. The total energy comes out at -3.0039 eV per atom. As for the crystal system: tetragonal. Its formation energy is 1.95 eV/atom. For the total moment, the calculation gives 1.805 Bohr magnetons per cell.

a b c (Å): 4.491 4.935 4.491
angles (deg): 90.00 90.00 90.00
Each line ends with the local moment (μB).
Element x y z (fractional)
Rb: 0.000 0.000 0.000  -0.04
Au: 0.500 0.500 0.500  0.02
Co: 0.500 0.000 0.000  1.01
Sc: 0.000 0.500 0.000  -0.16
Co: 0.000 0.000 0.500  1.11

---

Question: total moment of number 2 (RbScCo2Au)?
Answer: 1.805 Bohr magnetons per cell

---

Question: Which of these has the lowest total moment?
Answer: TcIr2Rh

---

What did the first record say?
Material: TcIr2Rh
Method: DFT, PBE-GGA
State: optimized geometry

Values from the calculation:
For the volume, the calculation gives 14.4 Å³ per atom. The total energy comes out at -8.9340 eV per atom. As for the crystal system: tetragonal. Its formation energy is -0.07 eV/atom. For the total moment, the calculation gives 0.000 Bohr magnetons per cell.

a b c (Å): 2.720 2.720 7.795
angles (deg): 90.00 90.00 90.00
Element x y z (fractional)
Tc: 0.500 0.500 0.750
Rh: 0.000 0.000 0.503
Ir: 0.000 0.000 0.999
Ir: 0.500 0.500 0.249